The following is a PBE calculation of an optimized crystal structure of NpSi3OsPt, from Alexandria via LeMat-Bulk.

Cell: 5.429 6.313 7.669 Å, 114.30 90.00 90.00°
Atoms (fractional coordinates):
Pt  0.750  0.897  0.795
Pt  0.250  0.103  0.205
Si  0.250  0.266  0.531
Si  0.500  0.777  0.000
Si  0.500  0.223  0.000
Si  0.750  0.734  0.469
Si  0.000  0.777  0.000
Si  0.000  0.223  0.000
Np  0.250  0.675  0.349
Np  0.750  0.325  0.651
Os  0.250  0.430  0.859
Os  0.750  0.570  0.141

The calculated volume is 239.5 Å³/cell. The raw formation energy comes out at -0.2117 eV per atom. Its space group is Cmcm, No. 63. For the total magnetization, the calculation gives 4.2 μB per formula unit.